Nb2ReSbAs: relaxed, PBE-GGA.

a = 5.071 Å, b = 5.071 Å, c = 4.984 Å
α = 90.00°, β = 90.00°, γ = 90.00°
Space group P4/mmm (No. 123)
One atom of each set of equivalent atoms:
Nb 0.000 0.500 0.000 (multiplicity 2)
Re 0.000 0.000 0.500 (multiplicity 1)
Sb 0.500 0.500 0.000 (multiplicity 1)
As 0.500 0.500 0.500 (multiplicity 1)

Total energy (eV per cell): -30.357
Calculated volume (Å³/f.u.): 128
Mass density (g cm⁻³): 7.37
Formation energy without anion corrections (meV/atom): 2200
Total magnetization (μB per cell): 1.19